(1)
A plane-wave DFT calculation with PBE was carried out for an optimized crystal structure of Ir4OsRu.

Geometry as POSCAR:
```
Ir4OsRu
1.0
2.728 0.000 0.000
0.000 3.859 0.000
0.000 0.000 8.193
Ir Os Ru
4 1 1
direct
0.000 0.000 0.165
0.000 0.000 0.835
0.500 0.500 0.335
0.500 0.500 0.665
0.000 0.000 0.500
0.500 0.500 0.000
```

Results
* space group: Pmmm
* electronic total energy: -9.33 eV per atom
* relative energy among the computed polymorphs: 0 meV per atom
* energy relative to the elements: -0.6 kJ/mol of atoms


(2)
A plane-wave DFT calculation with PBE was carried out for an optimized crystal structure of ScIrOsRu2.

Geometry as POSCAR:
```
ScIrOsRu2
1.0
4.444 0.000 0.000
0.000 4.444 0.000
0.000 0.000 4.573
Sc Ir Os Ru
1 1 1 2
direct
0.000 0.000 0.000
0.500 0.500 0.500
0.000 0.000 0.500
0.000 0.500 0.000
0.500 0.000 0.000
```

Results
* space group: P4/mmm
* electronic total energy: -6.99 eV per atom
* energy relative to the elements: 193.6 kJ/mol of atoms


(3)
A plane-wave DFT calculation with PBE was carried out for an optimized crystal structure of Sr2IrOsRu.

Geometry as POSCAR:
```
Sr2IrOsRu
1.0
5.705 0.000 0.000
0.000 5.705 0.000
0.000 0.000 4.553
Sr Ir Os Ru
2 1 1 1
direct
0.000 0.500 0.000
0.500 0.000 0.000
0.000 0.000 0.500
0.500 0.500 0.000
0.500 0.500 0.500
```

Results
* space group: P4/mmm
* electronic total energy: -5.29 eV per atom
* energy relative to the elements: 121.5 kJ/mol of atoms


(4)
A plane-wave DFT calculation with PBE was carried out for an optimized crystal structure of TcIrOsRu.

Geometry as POSCAR:
```
TcIrOsRu
1.0
-1.936 1.936 3.818
1.936 -1.936 3.818
1.936 1.936 -3.818
Tc Ir Os Ru
1 1 1 1
direct
0.000 0.000 0.000
0.500 0.500 0.000
0.750 0.250 0.500
0.250 0.750 0.500
```

Results
* space group: I-4m2
* electronic total energy: -9.95 eV per atom
* energy relative to the elements: -1.2 kJ/mol of atoms


(5)
A plane-wave DFT calculation with PBE was carried out for an optimized crystal structure of TlIr2OsRu.

Geometry as POSCAR:
```
TlIr2OsRu
1.0
4.774 0.000 0.000
0.000 4.774 0.000
0.000 0.000 4.674
Tl Ir Os Ru
1 2 1 1
direct
0.000 0.000 0.000
0.000 0.500 0.500
0.500 0.000 0.500
0.500 0.500 0.000
0.500 0.500 0.500
```

Results
* space group: P4/mmm
* electronic total energy: -6.32 eV per atom
* energy relative to the elements: 174.0 kJ/mol of atoms


(6)
A plane-wave DFT calculation with PBE was carried out for an optimized crystal structure of Ir2OsRu4W.

Geometry as POSCAR:
```
Ir2OsRu4W
1.0
4.730 -2.734 0.000
4.730 2.734 0.000
-3.141 0.000 8.906
Ir Os Ru W
4 2 8 2
direct
0.000 0.000 0.000
0.000 0.000 0.500
0.000 0.500 0.000
0.500 0.000 0.000
0.000 0.500 0.500
0.500 0.000 0.500
0.249 0.747 0.750
0.250 0.250 0.253
0.252 0.252 0.748
0.253 0.751 0.250
0.747 0.249 0.750
0.748 0.748 0.252
0.750 0.750 0.747
0.751 0.253 0.250
0.500 0.500 0.000
0.500 0.500 0.500
```

Results
* space group: C2/m
* electronic total energy: -9.89 eV per atom
* energy relative to the elements: -1.2 kJ/mol of atoms


What is the formula in the first record?
Ir4OsRu


Which of these has the highest energy relative to the elements?
ScIrOsRu2


What is the formula in the fifth record?
TlIr2OsRu